Below is an optimized crystal structure of RbCu3F, with properties calculated at the PBE-GGA level.

Computed properties:
total magnetic moment = 0.000 μB/atom
raw total energy = -2.66 eV per atom
energy relative to the elements, uncorrected = 0.364 eV per atom
calculated volume = 19.582 A^3/atom
E above lowest polymorph = 0 meV per atom

```
data_RbCu3F
_symmetry_space_group_name_H-M 'P 1'
_symmetry_Int_Tables_number 1
_symmetry_space_group_name_Hall 'P 1'
_cell_length_a 4.609
_cell_length_b 4.609
_cell_length_c 4.609
_cell_angle_alpha 90.00
_cell_angle_beta 90.00
_cell_angle_gamma 90.00
loop_
_atom_site_label
_atom_site_type_symbol
_atom_site_fract_x
_atom_site_fract_y
_atom_site_fract_z
Cu1 Cu 0.000 0.500 0.000
Cu2 Cu 0.000 0.000 0.500
Cu3 Cu 0.500 0.000 0.000
Rb1 Rb 0.500 0.500 0.500
F1 F 0.000 0.000 0.000
```